NbCu2AgRu: relaxed, PBE-GGA.

## Properties
The total energy is -0.3699 Ry per atom. As for the theoretical density: 6.99 g/cm³. For the density of states at the Fermi level, the calculation gives 0.938 states/eV/atom. The space group is P4/mmm. For the formation energy from the elements, the calculation gives 1.0452 eV per atom. As for the size of the total moment: 0.00 μB per formula unit.

a = 4.705 Å, b = 4.705 Å, c = 4.602 Å
α = 90.00°, β = 90.00°, γ = 90.00°
Atoms (fractional coordinates):
1 Nb 0.000 0.000 0.000
2 Cu 0.000 0.500 0.500
3 Cu 0.500 0.000 0.500
4 Ag 0.500 0.500 0.000
5 Ru 0.000 0.000 0.500